A crystal of Ca2BeZn relaxed with PBEsol, computed with SCAN.

Summary:
The value obtained for the energy above the most stable polymorph in this dataset is 0.0694 eV per atom. The formation enthalpy at 0 K comes out at 0.07 eV per atom. As for the crystal system: orthorhombic.

Unit cell a=3.4561 b=5.0299 c=5.9020 alpha=115.22 beta=107.03 gamma=90.00
Closest atoms and distances in Å follow each position.
Sites, in units of the cell vectors:
Be: 0.2061 0.7061 0.4122  2 Zn 2.33
Zn: 0.5517 0.5517 0.1034  2 Be 2.33
Ca: 0.9696 0.9696 0.9392  4 Zn 3.16, 4 Be 3.17-3.47, 6 Ca 3.21-3.51
Ca: 0.7725 0.2725 0.5451  4 Be 3.12, 4 Ca 3.21-3.46, 4 Zn 3.31-3.36



A crystal of Sc2As relaxed with PBEsol, computed with SCAN.

Summary:
The formation enthalpy at 0 K comes out at -1.06 eV per atom. As for the crystal system: hexagonal.

Unit cell a=3.8055 b=7.2582 c=7.2582 alpha=120.00 beta=90.00 gamma=90.00
Closest atoms and distances in Å follow each position.
Sites, in units of the cell vectors:
As: 0.0000 0.6667 0.3333  9 Sc 2.72-2.92
As: 0.0000 0.3333 0.6667  9 Sc 2.72-2.92
As: 0.5000 0.0000 0.0000  9 Sc 2.68-2.92
Sc: 0.0000 0.7393 0.7393  4 As 2.68-2.72
Sc: 0.0000 0.0000 0.2607  4 As 2.68-2.72
Sc: 0.0000 0.2607 0.0000  4 As 2.68-2.72
Sc: 0.5000 0.4021 0.4021  5 As 2.92, 6 Sc 3.10-3.19
Sc: 0.5000 0.0000 0.5979  5 As 2.92, 6 Sc 3.10-3.19
Sc: 0.5000 0.5979 0.0000  5 As 2.92, 6 Sc 3.10-3.19



A crystal of CsNaAs2Br relaxed with PBEsol, computed with SCAN.

Summary:
Its formation energy without anion corrections is 0.461 eV/atom. As for the crystal system: tetragonal.

Unit cell a=6.5831 b=6.6562 c=6.6562 alpha=90.00 beta=90.00 gamma=90.00
Closest atoms and distances in Å follow each position.
Sites, in units of the cell vectors:
Cs: 0.0000 0.0000 0.0000  2 Br 3.29, 4 As 3.33
Na: 0.5000 0.5000 0.5000  8 As 4.68, 4 Br 4.71
As: 0.0000 0.0000 0.5000  2 Cs 3.33
As: 0.0000 0.5000 0.0000  2 Cs 3.33
Br: 0.5000 0.0000 0.0000  2 Cs 3.29



A crystal of Co2IrCl relaxed with PBEsol, computed with SCAN.

Summary:
Its formation energy without anion corrections is 0.793 eV/atom. The value obtained for the energy above the most stable polymorph in this dataset is 0.3671 eV per atom. As for the crystal system: orthorhombic.

Unit cell a=2.7397 b=4.3197 c=4.3241 alpha=90.00 beta=90.00 gamma=90.00
Closest atoms and distances in Å follow each position.
Sites, in units of the cell vectors:
Ir: 0.5000 0.5000 0.0000  4 Co 2.56, 4 Cl 2.56, 2 Ir 2.74
Co: 0.0000 0.0000 0.0000  4 Ir 2.56, 6 Co 2.56-2.74
Co: 0.5000 0.0000 0.5000  4 Cl 2.56, 6 Co 2.56-2.74
Cl: 0.0000 0.5000 0.5000  4 Co 2.56, 4 Ir 2.56, 2 Cl 2.74



A crystal of ZnCuAu2 relaxed with PBEsol, computed with SCAN.

Summary:
The formation enthalpy at 0 K comes out at -0.18 eV per atom. As for the crystal system: orthorhombic.

Unit cell a=3.1599 b=4.3164 c=4.3164 alpha=87.12 beta=90.00 gamma=90.00
Closest atoms and distances in Å follow each position.
Sites, in units of the cell vectors:
Zn: 0.5000 0.5000 0.5000  8 Au 2.67, 2 Cu 2.97
Au: 0.0000 0.5000 0.0000  4 Zn 2.67, 4 Cu 2.67, 2 Au 2.97
Au: 0.0000 0.0000 0.5000  4 Cu 2.67, 4 Zn 2.67, 2 Au 2.97
Cu: 0.5000 0.0000 0.0000  8 Au 2.67, 2 Zn 2.97



A crystal of TlAg relaxed with PBEsol, computed with SCAN.

Summary:
The formation enthalpy at 0 K comes out at 0.12 eV per atom. As for the crystal system: monoclinic.

Unit cell a=3.4051 b=4.7185 c=5.6795 alpha=90.00 beta=108.33 gamma=90.00
Closest atoms and distances in Å follow each position.
Sites, in units of the cell vectors:
Tl: 0.8403 0.7500 0.1861  7 Ag 2.91-3.05
Tl: 0.1597 0.2500 0.8139  7 Ag 2.91-3.05
Ag: 0.5732 0.7500 0.6474  2 Ag 2.84, 7 Tl 2.91-3.05
Ag: 0.4268 0.2500 0.3526  2 Ag 2.84, 7 Tl 2.91-3.05



A crystal of KCaPt4 relaxed with PBEsol, computed with SCAN.

Summary:
The formation enthalpy at 0 K comes out at -0.72 eV per atom. As for the crystal system: cubic.

Unit cell a=5.3964 b=5.3964 c=5.3964 alpha=60.00 beta=60.00 gamma=60.00
Closest atoms and distances in Å follow each position.
Sites, in units of the cell vectors:
Ca: 0.7500 0.7500 0.7500  12 Pt 3.16, 4 K 3.30
K: 0.0000 0.0000 0.0000  12 Pt 3.16, 4 Ca 3.30
Pt: 0.3751 0.3751 0.3751  6 Pt 2.70
Pt: 0.3751 0.3751 0.8747  6 Pt 2.70
Pt: 0.8747 0.3751 0.3751  6 Pt 2.70
Pt: 0.3751 0.8747 0.3751  6 Pt 2.70



A crystal of Ba2HF relaxed with PBEsol, computed with SCAN.

Summary:
The calculation puts the calculated total energy at -22.65 eV/atom. As for the crystal system: cubic.

Unit cell a=4.9671 b=4.9671 c=4.9671 alpha=60.00 beta=60.00 gamma=60.00
Closest atoms and distances in Å follow each position.
Sites, in units of the cell vectors:
H: 0.0000 0.0000 0.0000  8 Ba 3.04
Ba: 0.2500 0.2500 0.2500  4 F 3.04, 4 H 3.04
Ba: 0.7500 0.7500 0.7500  4 H 3.04, 4 F 3.04
F: 0.5000 0.5000 0.5000  8 Ba 3.04



Please write out number 1 again, unchanged.
A crystal of Ca2BeZn relaxed with PBEsol, computed with SCAN.

Summary:
The value obtained for the energy above the most stable polymorph in this dataset is 0.0694 eV per atom. The formation enthalpy at 0 K comes out at 0.07 eV per atom. As for the crystal system: orthorhombic.

Unit cell a=3.4561 b=5.0299 c=5.9020 alpha=115.22 beta=107.03 gamma=90.00
Closest atoms and distances in Å follow each position.
Sites, in units of the cell vectors:
Be: 0.2061 0.7061 0.4122  2 Zn 2.33
Zn: 0.5517 0.5517 0.1034  2 Be 2.33
Ca: 0.9696 0.9696 0.9392  4 Zn 3.16, 4 Be 3.17-3.47, 6 Ca 3.21-3.51
Ca: 0.7725 0.2725 0.5451  4 Be 3.12, 4 Ca 3.21-3.46, 4 Zn 3.31-3.36